First-principles (PBE) data for a relaxed Li2Nb2SeO3 crystal, as listed in OQMD via LeMat-Bulk.

Summary:
Size of the total moment, μB/atom: 0.0008
E, eV per atom: -7.119
SG: P3m1, No. 156

extended XYZ file:
```
8
Lattice="3.0253 0.0000 0.0000 -1.5127 2.6200 0.0000 0.0000 0.0000 11.8560" Properties=species:S:1:pos:R:3 pbc="T T T"
Li 1.5127 0.8733 6.0074
Li 1.5127 0.8733 11.4244
Nb 1.5127 0.8733 3.3482
Nb 1.5127 0.8733 8.7679
O 0.0000 0.0000 4.7100
O 0.0000 1.7467 7.4655
O 0.0000 1.7467 10.1177
Se 0.0000 0.0000 1.5111
```

First-principles (PBE) data for a relaxed ErTaPd crystal, as listed in OQMD via LeMat-Bulk.

Summary:
Energy of formation, meV per atom: 221.7
Size of the total moment, μB/atom: 0.2777
Excess energy over the best structure of this formula in the dataset, eV/atom: 0.000
SG: F-43m, No. 216

extended XYZ file:
```
3
Lattice="0.0000 3.2458 3.2458 3.2458 0.0000 3.2458 3.2458 3.2458 0.0000" Properties=species:S:1:pos:R:3 pbc="T T T"
Er 0.0000 0.0000 0.0000
Pd 4.8687 4.8687 4.8687
Ta 3.2458 3.2458 3.2458
```

First-principles (PBE) data for a relaxed AcFeSn crystal, as listed in OQMD via LeMat-Bulk.

Summary:
Size of the total moment, μB/atom: 1.0670
Excess energy over the best structure of this formula in the dataset, eV/atom: 0.785
SG: F-43m, No. 216

extended XYZ file:
```
3
Lattice="0.0000 3.7157 3.7157 3.7157 0.0000 3.7157 3.7157 3.7157 0.0000" Properties=species:S:1:pos:R:3 pbc="T T T"
Ac 0.0000 0.0000 0.0000
Fe 1.8578 1.8578 1.8578
Sn 5.5735 5.5735 5.5735
```